1.
{
  "formula": "Ti3W13",
  "functional": "GGA-PBE",
  "state": "optimized geometry",
  "dft_energy_ev_per_atom": -12.0753,
  "e_form_ev_per_atom": -0.071,
  "lattice": [[6.349, 0.000, 0.000], [0.000, 4.497, 4.500], [0.000, -4.497, 4.500]],
  "species": ["Ti", "Ti", "Ti", "W", "W", "W", "W", "W", "W", "W", "W", "W", "W", "W", "W", "W"],
  "fractional_positions": [[0.000, 0.000, 0.000], [0.251, 0.253, 0.253], [0.749, 0.253, 0.253], [0.000, 0.001, 0.503], [0.000, 0.502, 0.502], [0.000, 0.503, 0.001], [0.250, 0.252, 0.751], [0.250, 0.751, 0.252], [0.251, 0.751, 0.751], [0.500, 0.001, 0.001], [0.500, 0.002, 0.502], [0.500, 0.502, 0.002], [0.500, 0.504, 0.504], [0.749, 0.751, 0.751], [0.750, 0.252, 0.751], [0.750, 0.751, 0.252]]
}



2.
{
  "formula": "MgBeAg2",
  "functional": "GGA-PBE",
  "state": "optimized geometry",
  "polymorph_energy_kj_per_mol_atoms": 14.74,
  "dft_energy_ev_per_atom": -2.6165,
  "e_form_ev_per_atom": 0.139,
  "lattice": [[6.366, 0.000, 0.000], [0.000, 6.366, 0.000], [0.000, 0.000, 6.366]],
  "species": ["Mg", "Mg", "Mg", "Mg", "Be", "Be", "Be", "Be", "Ag", "Ag", "Ag", "Ag", "Ag", "Ag", "Ag", "Ag"],
  "fractional_positions": [[0.000, 0.000, 0.000], [0.000, 0.500, 0.500], [0.500, 0.000, 0.500], [0.500, 0.500, 0.000], [0.250, 0.250, 0.250], [0.250, 0.750, 0.750], [0.750, 0.250, 0.750], [0.750, 0.750, 0.250], [0.000, 0.000, 0.500], [0.000, 0.500, 0.000], [0.250, 0.250, 0.750], [0.250, 0.750, 0.250], [0.500, 0.000, 0.000], [0.500, 0.500, 0.500], [0.750, 0.250, 0.250], [0.750, 0.750, 0.750]]
}



3.
{
  "formula": "LiTa2Cl",
  "functional": "GGA-PBE",
  "state": "optimized geometry",
  "polymorph_energy_kj_per_mol_atoms": 18.37,
  "e_form_raw_ev_per_fu": 0.23,
  "dft_energy_ev_per_atom": -6.8095,
  "lattice": [[2.991, 0.000, 0.000], [0.000, 3.476, 0.000], [0.000, 0.000, 14.903]],
  "species": ["Li", "Li", "Ta", "Ta", "Ta", "Ta", "Cl", "Cl"],
  "fractional_positions": [[0.000, 0.000, 0.000], [0.500, 0.500, 0.500], [0.000, 0.500, 0.197], [0.000, 0.500, 0.803], [0.500, 0.000, 0.303], [0.500, 0.000, 0.697], [0.000, 0.000, 0.500], [0.500, 0.500, 0.000]]
}



4.
{
  "formula": "Ce2Pm3UN6",
  "functional": "GGA-PBE",
  "state": "optimized geometry",
  "e_form_raw_ev_per_fu": -17.91,
  "dft_energy_ev_per_atom": -8.7727,
  "lattice": [[3.083, -5.335, 0.000], [3.083, 5.335, 0.000], [-2.053, 0.000, 5.805]],
  "species": ["Ce", "Ce", "Pm", "Pm", "Pm", "U", "N", "N", "N", "N", "N", "N"],
  "fractional_positions": [[0.166, 0.834, 0.000], [0.834, 0.166, 0.000], [0.000, 0.000, 0.500], [0.332, 0.668, 0.500], [0.668, 0.332, 0.500], [0.500, 0.500, 0.000], [0.115, 0.425, 0.776], [0.265, 0.265, 0.226], [0.425, 0.115, 0.776], [0.575, 0.885, 0.224], [0.735, 0.735, 0.774], [0.885, 0.575, 0.224]]
}